# 1
{
  "formula": "Ta3In5",
  "functional": "GGA-PBE",
  "state": "relaxed",
  "crystal_system": "hexagonal",
  "energy_ev_per_atom": -5.7607,
  "ef_ev_per_atom": 0.396,
  "spacegroup": "P6_3/mcm (193)",
  "cell": [[-7.9225, -2.9982, 0.9259], [3.2825, 1.0279, -7.7962], [1.9446, -5.0930, 0.1473]],
  "species": ["Ta", "Ta", "Ta", "Ta", "Ta", "Ta", "In", "In", "In", "In", "In", "In", "In", "In", "In", "In"],
  "fractional_positions": [[0.5872, 0.0000, 0.2500], [0.0000, 0.5872, 0.2500], [0.5872, 0.5872, 0.7500], [0.4128, 0.4128, 0.2500], [0.0000, 0.4128, 0.7500], [0.4128, 0.0000, 0.7500], [0.7742, 0.7742, 0.2500], [0.0000, 0.2258, 0.2500], [0.2258, 0.2258, 0.7500], [0.0000, 0.7742, 0.7500], [0.6667, 0.3333, 0.5000], [0.7742, 0.0000, 0.7500], [0.2258, 0.0000, 0.2500], [0.3333, 0.6667, 0.5000], [0.3333, 0.6667, 0.0000], [0.6667, 0.3333, 0.0000]]
}


# 2
{
  "formula": "PuScTlPb",
  "functional": "GGA-PBE",
  "state": "relaxed",
  "crystal_system": "cubic",
  "energy_ev_per_atom": -6.8359,
  "ef_ev_per_atom": -0.151,
  "spacegroup": "F-43m (216)",
  "cell": [[5.2963, 0.0000, 0.0000], [2.6481, 4.5867, 0.0000], [2.6481, 1.5289, 4.3244]],
  "species": ["Tl", "Pu", "Pb", "Sc"],
  "fractional_positions": [[0.7500, 0.7500, 0.7500], [0.5000, 0.5000, 0.5000], [0.2500, 0.2500, 0.2500], [0.0000, 0.0000, 0.0000]]
}


# 3
{
  "formula": "MgTl7",
  "functional": "GGA-PBE",
  "state": "relaxed",
  "crystal_system": "tetragonal",
  "energy_ev_per_atom": -2.2466,
  "ef_ev_per_atom": 0.023,
  "spacegroup": "I4/mmm (139)",
  "cell": [[4.5818, 0.0000, -1.1252], [-0.2763, 4.5735, -1.1252], [0.2781, 0.2954, 11.0233]],
  "species": ["Tl", "Tl", "Tl", "Tl", "Tl", "Tl", "Tl", "Mg"],
  "fractional_positions": [[0.3800, 0.8800, 0.7600], [0.7505, 0.7505, 0.5009], [0.5000, 0.5000, 0.0000], [0.8800, 0.3800, 0.7600], [0.2495, 0.2495, 0.4991], [0.6200, 0.1200, 0.2400], [0.1200, 0.6200, 0.2400], [0.0000, 0.0000, 0.0000]]
}


# 4
{
  "formula": "NaSrCl2",
  "functional": "GGA-PBE",
  "state": "relaxed",
  "crystal_system": "trigonal",
  "energy_ev_per_atom": -3.3592,
  "spacegroup": "R3m (160)",
  "formation_energy_uncorrected_ev_per_atom": -1.6857,
  "cell": [[4.0613, 0.0000, 0.0000], [2.0306, 3.5172, 0.0000], [2.0306, 1.1724, 7.6000]],
  "species": ["Cl", "Cl", "Sr", "Na"],
  "fractional_positions": [[0.2597, 0.2597, 0.2210], [0.0725, 0.0725, 0.7826], [0.4990, 0.4990, 0.5029], [0.6689, 0.6689, 0.9934]]
}


# 5
{
  "formula": "LiOs2Br",
  "functional": "GGA-PBE",
  "state": "relaxed",
  "crystal_system": "orthorhombic",
  "energy_ev_per_atom": -5.3782,
  "spacegroup": "Cmmm (65)",
  "formation_energy_uncorrected_ev_per_atom": 1.1333,
  "cell": [[-4.5404, -0.0051, -2.6843], [1.5919, -3.9887, 3.0621], [-1.3056, 1.1726, 2.2062]],
  "species": ["Os", "Os", "Li", "Br"],
  "fractional_positions": [[0.0000, 0.0000, 0.0000], [0.5000, 0.5000, 0.0000], [0.0000, 0.5000, 0.5000], [0.5000, 0.0000, 0.5000]]
}


# 6
{
  "formula": "TbTmGa2Cu2",
  "functional": "GGA-PBE",
  "state": "relaxed",
  "crystal_system": "trigonal",
  "energy_ev_per_atom": -4.3960,
  "ef_ev_per_atom": -0.505,
  "spacegroup": "P-3m1 (164)",
  "cell": [[4.3497, 0.0000, 0.0000], [-2.1748, 3.7669, 0.0000], [0.0000, 0.0000, 7.0129]],
  "species": ["Cu", "Cu", "Tm", "Ga", "Ga", "Tb"],
  "fractional_positions": [[0.3333, 0.6667, 0.7366], [0.6667, 0.3333, 0.2634], [0.0000, 0.0000, 0.5000], [0.6667, 0.3333, 0.7412], [0.3333, 0.6667, 0.2588], [0.0000, 0.0000, 0.0000]]
}